Record 1
A relaxed FeCuSi2 crystal. Source: the Alexandria database, functional PBE.

Geometry as POSCAR:
```
FeCuSi2
1.0
0.000 2.468 3.801
2.465 0.000 3.801
2.465 2.468 0.000
Fe Cu Si
1 1 2
direct
0.000 0.000 0.000 Fe
0.750 0.750 0.750 Cu
0.250 0.250 0.250 Si
0.500 0.500 0.500 Si
```

Values from the calculation:
The crystal system is orthorhombic. The uncorrected formation energy comes out at -0.21 eV/f.u.

Record 2
A relaxed MgScCd3 crystal. Source: the Alexandria database, functional PBE.

Geometry as POSCAR:
```
MgScCd3
1.0
5.546 0.000 0.000
0.000 5.546 0.000
0.000 0.000 5.546
Mg Sc Cd
1 1 3
direct
0.000 0.000 0.000 Mg
0.500 0.500 0.500 Sc
0.000 0.500 0.500 Cd
0.500 0.000 0.500 Cd
0.500 0.500 0.000 Cd
```

Values from the calculation:
As for the polymorph energy (0 for the lowest one): 748 meV per atom. The crystal system is cubic. Its formation energy is 624 meV per atom.

Record 3
A relaxed Au2CF crystal. Source: the Alexandria database, functional PBE.

Geometry as POSCAR:
```
Au2CF
1.0
0.000 2.980 2.980
2.980 0.000 2.980
2.980 2.980 0.000
Au C F
2 1 1
direct
0.250 0.250 0.250 Au
0.750 0.750 0.750 Au
0.000 0.000 0.000 C
0.500 0.500 0.500 F
```

Values from the calculation:
As for the polymorph energy (0 for the lowest one): 562 meV per atom. The crystal system is cubic. The uncorrected formation energy comes out at 4.17 eV/f.u.

Record 4
A relaxed KTa2Ru crystal. Source: the Alexandria database, functional PBE.

Geometry as POSCAR:
```
KTa2Ru
1.0
5.246 -1.543 0.000
5.246 1.543 0.000
-1.631 0.000 5.844
K Ta Ru
1 2 1
direct
0.000 0.000 0.000 K
0.197 0.197 0.641 Ta
0.803 0.803 0.359 Ta
0.500 0.500 0.500 Ru
```

Values from the calculation:
As for the polymorph energy (0 for the lowest one): 352 meV per atom. The crystal system is monoclinic. Its formation energy is 840 meV per atom.

Record 5
A relaxed Pm5Ir2Ru crystal. Source: the Alexandria database, functional PBE.

Geometry as POSCAR:
```
Pm5Ir2Ru
1.0
-3.791 3.791 7.100
3.791 -3.791 7.100
3.791 3.791 -7.100
Pm Ir Ru
10 4 2
direct
0.000 0.000 0.000 Pm
0.034 0.534 0.853 Pm
0.182 0.034 0.500 Pm
0.318 0.818 0.853 Pm
0.466 0.318 0.500 Pm
0.500 0.500 0.000 Pm
0.534 0.682 0.500 Pm
0.682 0.182 0.147 Pm
0.818 0.966 0.500 Pm
0.966 0.466 0.147 Pm
0.125 0.375 0.500 Ir
0.375 0.875 0.249 Ir
0.625 0.125 0.751 Ir
0.875 0.625 0.500 Ir
0.250 0.250 0.000 Ru
0.750 0.750 0.000 Ru
```

Values from the calculation:
The crystal system is tetragonal. Its formation energy is -470 meV per atom.

Record 6
A relaxed Mn2W crystal. Source: the Alexandria database, functional PBE.

Geometry as POSCAR:
```
Mn2W
1.0
5.040 0.000 0.000
0.000 4.139 0.000
0.000 0.000 7.404
Mn W
8 4
direct
0.029 0.250 0.241 Mn
0.171 0.250 0.564 Mn
0.329 0.750 0.064 Mn
0.471 0.750 0.741 Mn
0.529 0.250 0.259 Mn
0.671 0.250 0.936 Mn
0.829 0.750 0.436 Mn
0.971 0.750 0.759 Mn
0.175 0.250 0.904 W
0.325 0.750 0.404 W
0.675 0.250 0.596 W
0.825 0.750 0.096 W
```

Values from the calculation:
As for the polymorph energy (0 for the lowest one): 208 meV per atom. The crystal system is orthorhombic. Its formation energy is 126 meV per atom.

Record 7
A relaxed Ac3Th crystal. Source: the Alexandria database, functional PBE.

Geometry as POSCAR:
```
Ac3Th
1.0
-1.932 6.343 3.371
1.932 -6.343 3.371
1.932 6.343 -3.371
Ac Th
3 1
direct
0.000 0.000 0.000 Ac
0.099 0.341 0.759 Ac
0.582 0.341 0.241 Ac
0.511 0.011 0.500 Th
```

Values from the calculation:
As for the polymorph energy (0 for the lowest one): 0 meV per atom. The crystal system is orthorhombic. Its formation energy is 137 meV per atom.

Record 8
A relaxed Zn2PtW crystal. Source: the Alexandria database, functional PBE.

Geometry as POSCAR:
```
Zn2PtW
1.0
2.718 0.000 0.000
0.000 4.400 0.000
-0.252 0.000 5.087
Zn Pt W
2 1 1
direct
0.097 0.000 0.239 Zn
0.903 0.000 0.761 Zn
0.000 0.500 0.500 Pt
0.500 0.500 0.000 W
```

Values from the calculation:
As for the polymorph energy (0 for the lowest one): 111 meV per atom. The crystal system is monoclinic. Its formation energy is -1 meV per atom.